a:
Compound: La3CuOs
Source: Alexandria via LeMat-Bulk
Functional: GGA-PBE
Structure: relaxed

Unit cell a=5.575 b=5.575 c=5.575 alpha=90.00 beta=90.00 gamma=90.00
Sites, in units of the cell vectors:
Os  0.000  0.000  0.000
Cu  0.500  0.500  0.500
La  0.000  0.500  0.000
La  0.000  0.000  0.500
La  0.500  0.000  0.000

b:
Compound: La3CuOs
Source: Alexandria via LeMat-Bulk
Functional: GGA-PBE
Structure: relaxed

Unit cell a=6.014 b=6.559 c=8.563 alpha=120.91 beta=84.69 gamma=109.03
Sites, in units of the cell vectors:
La  0.422  0.791  0.124
La  0.253  0.286  0.558
La  0.960  0.713  0.804
La  0.040  0.287  0.196
La  0.578  0.209  0.876
La  0.747  0.714  0.442
Cu  0.712  0.179  0.485
Cu  0.288  0.821  0.515
Os  0.916  0.733  0.142
Os  0.084  0.267  0.858

c:
Compound: La3CuOs
Source: Alexandria via LeMat-Bulk
Functional: GGA-PBE
Structure: relaxed

Unit cell a=7.492 b=8.909 c=8.994 alpha=108.58 beta=90.00 gamma=90.00
Sites, in units of the cell vectors:
La  0.148  0.607  0.771
La  0.852  0.393  0.229
La  0.648  0.893  0.229
La  0.352  0.107  0.771
La  0.679  0.509  0.847
La  0.321  0.491  0.153
La  0.179  0.991  0.153
La  0.821  0.009  0.847
La  0.990  0.216  0.542
La  0.010  0.784  0.458
La  0.490  0.284  0.458
La  0.510  0.716  0.542
Cu  0.034  0.345  0.913
Cu  0.966  0.655  0.087
Cu  0.534  0.155  0.087
Cu  0.466  0.845  0.913
Os  0.813  0.522  0.568
Os  0.187  0.478  0.432
Os  0.313  0.978  0.432
Os  0.687  0.022  0.568

Stability, highest: c

a:
Compound: LaCuOs
Source: Alexandria via LeMat-Bulk
Functional: GGA-PBE
Structure: relaxed

Unit cell a=4.229 b=4.229 c=4.126 alpha=90.00 beta=90.00 gamma=120.00
Sites, in units of the cell vectors:
Cu  0.000  0.000  0.834
La  0.667  0.333  0.333
Os  0.333  0.667  0.833

b:
Compound: LaCuOs
Source: Alexandria via LeMat-Bulk
Functional: GGA-PBE
Structure: relaxed

Unit cell a=4.418 b=5.647 c=5.961 alpha=74.20 beta=68.19 gamma=89.96
Sites, in units of the cell vectors:
La  0.395  0.690  0.711
La  0.605  0.310  0.289
Cu  0.092  0.700  0.316
Cu  0.908  0.300  0.684
Os  0.718  0.907  0.064
Os  0.282  0.093  0.936

Stability, highest: b

a:
Compound: LaCuOs
Source: Alexandria via LeMat-Bulk
Functional: GGA-PBE
Structure: relaxed

Unit cell a=4.532 b=4.532 c=4.532 alpha=60.00 beta=60.00 gamma=60.00
Sites, in units of the cell vectors:
Cu  0.000  0.000  0.000
La  0.500  0.500  0.500
Os  0.250  0.250  0.250

b:
Compound: LaCuOs
Source: Alexandria via LeMat-Bulk
Functional: GGA-PBE
Structure: relaxed

Unit cell a=5.490 b=5.490 c=3.479 alpha=71.53 beta=71.53 gamma=36.95
Sites, in units of the cell vectors:
Cu  0.046  0.046  0.954
La  0.332  0.332  0.668
Os  0.622  0.622  0.378

Stability, highest: b

a:
Compound: LaCuOs
Source: Alexandria via LeMat-Bulk
Functional: GGA-PBE
Structure: relaxed

Unit cell a=2.912 b=2.912 c=7.540 alpha=90.00 beta=90.00 gamma=120.00
Sites, in units of the cell vectors:
Cu  0.000  0.000  0.966
La  0.667  0.333  0.339
Os  0.333  0.667  0.695

b:
Compound: LaCuOs
Source: Alexandria via LeMat-Bulk
Functional: GGA-PBE
Structure: relaxed

Unit cell a=4.607 b=4.607 c=4.607 alpha=60.00 beta=60.00 gamma=60.00
Sites, in units of the cell vectors:
Cu  0.500  0.500  0.500
La  0.250  0.250  0.250
Os  0.000  0.000  0.000

Stability, highest: a